1.
# AuC

A geometry-optimized AuC structure (PBE, Alexandria via LeMat-Bulk).

Geometry as CIF:
```
data_AuC
_chemical_formula_sum 'Au2 C2'
_symmetry_space_group_name_H-M 'P 1'
_symmetry_Int_Tables_number 1
_cell_length_a 4.295
_cell_length_b 4.295
_cell_length_c 4.295
_cell_angle_alpha 60.00
_cell_angle_beta 60.00
_cell_angle_gamma 60.00
loop_
_symmetry_equiv_pos_as_xyz
'x,y,z'
loop_
_atom_site_label
_atom_site_fract_x
_atom_site_fract_y
_atom_site_fract_z
_atom_site_occupancy
Au1 0.125 0.125 0.125 1
Au2 0.875 0.875 0.875 1
C1 0.375 0.375 0.375 1
C2 0.625 0.625 0.625 1
```

Results
As for the density of states at the Fermi level: 1.406 states/eV/f.u. As for the total DFT energy (no corrections): -13.68 eV per cell. As for the energy above the most stable polymorph in this dataset: 58.76 kcal/mol of atoms.

2.
# AuC3

A geometry-optimized AuC3 structure (PBE, Alexandria via LeMat-Bulk).

Geometry as CIF:
```
data_AuC3
_chemical_formula_sum 'Au2 C6'
_symmetry_space_group_name_H-M 'P 1'
_symmetry_Int_Tables_number 1
_cell_length_a 6.467
_cell_length_b 6.467
_cell_length_c 6.467
_cell_angle_alpha 146.33
_cell_angle_beta 146.33
_cell_angle_gamma 48.35
loop_
_symmetry_equiv_pos_as_xyz
'x,y,z'
loop_
_atom_site_label
_atom_site_fract_x
_atom_site_fract_y
_atom_site_fract_z
_atom_site_occupancy
Au1 0.143 0.143 0.000 1
Au2 0.857 0.857 0.000 1
C1 0.000 0.500 0.500 1
C2 0.250 0.750 0.500 1
C3 0.441 0.441 0.000 1
C4 0.500 0.000 0.500 1
C5 0.559 0.559 0.000 1
C6 0.750 0.250 0.500 1
```

Results
As for the density of states at the Fermi level: 0.784 states/eV/f.u. As for the total DFT energy (no corrections): -37.52 eV per cell. As for the energy above the most stable polymorph in this dataset: 50.42 kcal/mol of atoms.

3.
# AuC5

A geometry-optimized AuC5 structure (PBE, Alexandria via LeMat-Bulk).

Geometry as CIF:
```
data_AuC5
_chemical_formula_sum 'Au1 C5'
_symmetry_space_group_name_H-M 'P 1'
_symmetry_Int_Tables_number 1
_cell_length_a 3.520
_cell_length_b 3.520
_cell_length_c 8.119
_cell_angle_alpha 90.00
_cell_angle_beta 90.00
_cell_angle_gamma 120.00
loop_
_symmetry_equiv_pos_as_xyz
'x,y,z'
loop_
_atom_site_label
_atom_site_fract_x
_atom_site_fract_y
_atom_site_fract_z
_atom_site_occupancy
Au1 0.000 0.000 0.000 1
C1 0.000 0.500 0.500 1
C2 0.333 0.667 0.000 1
C3 0.500 0.000 0.500 1
C4 0.500 0.500 0.500 1
C5 0.667 0.333 0.000 1
```

Results
As for the density of states at the Fermi level: 3.539 states/eV/f.u. As for the total DFT energy (no corrections): -30.31 eV per cell. As for the energy above the most stable polymorph in this dataset: 49.93 kcal/mol of atoms.

4.
# AuC

A geometry-optimized AuC structure (PBE, Alexandria via LeMat-Bulk).

Geometry as CIF:
```
data_AuC
_chemical_formula_sum 'Au1 C1'
_symmetry_space_group_name_H-M 'P 1'
_symmetry_Int_Tables_number 1
_cell_length_a 3.242
_cell_length_b 3.242
_cell_length_c 2.940
_cell_angle_alpha 90.00
_cell_angle_beta 90.00
_cell_angle_gamma 120.00
loop_
_symmetry_equiv_pos_as_xyz
'x,y,z'
loop_
_atom_site_label
_atom_site_fract_x
_atom_site_fract_y
_atom_site_fract_z
_atom_site_occupancy
Au1 0.000 0.000 0.000 1
C1 0.667 0.333 0.500 1
```

Results
As for the density of states at the Fermi level: 1.821 states/eV/f.u. As for the total DFT energy (no corrections): -8.00 eV per cell. As for the energy above the most stable polymorph in this dataset: 45.39 kcal/mol of atoms.

5.
# AuC

A geometry-optimized AuC structure (PBE, Alexandria via LeMat-Bulk).

Geometry as CIF:
```
data_AuC
_chemical_formula_sum 'Au3 C3'
_symmetry_space_group_name_H-M 'P 1'
_symmetry_Int_Tables_number 1
_cell_length_a 3.778
_cell_length_b 3.778
_cell_length_c 8.477
_cell_angle_alpha 90.81
_cell_angle_beta 90.81
_cell_angle_gamma 49.35
loop_
_symmetry_equiv_pos_as_xyz
'x,y,z'
loop_
_atom_site_label
_atom_site_fract_x
_atom_site_fract_y
_atom_site_fract_z
_atom_site_occupancy
Au1 0.000 0.000 0.000 1
Au2 0.096 0.096 0.473 1
Au3 0.766 0.766 0.713 1
C1 0.491 0.491 0.826 1
C2 0.519 0.519 0.165 1
C3 0.547 0.547 0.315 1
```

Results
As for the density of states at the Fermi level: 0.700 states/eV/f.u. As for the total DFT energy (no corrections): -29.66 eV per cell. As for the energy above the most stable polymorph in this dataset: 23.62 kcal/mol of atoms.

6.
# AuC

A geometry-optimized AuC structure (PBE, Alexandria via LeMat-Bulk).

Geometry as CIF:
```
data_AuC
_chemical_formula_sum 'Au6 C6'
_symmetry_space_group_name_H-M 'P 1'
_symmetry_Int_Tables_number 1
_cell_length_a 8.270
_cell_length_b 8.270
_cell_length_c 3.536
_cell_angle_alpha 90.00
_cell_angle_beta 90.00
_cell_angle_gamma 120.00
loop_
_symmetry_equiv_pos_as_xyz
'x,y,z'
loop_
_atom_site_label
_atom_site_fract_x
_atom_site_fract_y
_atom_site_fract_z
_atom_site_occupancy
Au1 0.143 0.709 0.250 1
Au2 0.291 0.435 0.250 1
Au3 0.435 0.143 0.750 1
Au4 0.565 0.857 0.250 1
Au5 0.709 0.565 0.750 1
Au6 0.857 0.291 0.750 1
C1 0.020 0.400 0.250 1
C2 0.380 0.980 0.250 1
C3 0.400 0.380 0.750 1
C4 0.600 0.620 0.250 1
C5 0.620 0.020 0.750 1
C6 0.980 0.600 0.750 1
```

Results
As for the density of states at the Fermi level: 0.498 states/eV/f.u. As for the total DFT energy (no corrections): -52.28 eV per cell. As for the energy above the most stable polymorph in this dataset: 37.14 kcal/mol of atoms.

7.
# Au4C

A geometry-optimized Au4C structure (PBE, Alexandria via LeMat-Bulk).

Geometry as CIF:
```
data_Au4C
_chemical_formula_sum 'Au4 C1'
_symmetry_space_group_name_H-M 'P 1'
_symmetry_Int_Tables_number 1
_cell_length_a 4.357
_cell_length_b 4.357
_cell_length_c 4.357
_cell_angle_alpha 90.00
_cell_angle_beta 90.00
_cell_angle_gamma 90.00
loop_
_symmetry_equiv_pos_as_xyz
'x,y,z'
loop_
_atom_site_label
_atom_site_fract_x
_atom_site_fract_y
_atom_site_fract_z
_atom_site_occupancy
Au1 0.000 0.000 0.000 1
Au2 0.000 0.500 0.500 1
Au3 0.500 0.000 0.500 1
Au4 0.500 0.500 0.000 1
C1 0.500 0.500 0.500 1
```

Results
As for the density of states at the Fermi level: 2.450 states/eV/f.u. As for the total DFT energy (no corrections): -18.81 eV per cell. As for the energy above the most stable polymorph in this dataset: 0.00 kcal/mol of atoms.

8.
# Au2C

A geometry-optimized Au2C structure (PBE, Alexandria via LeMat-Bulk).

Geometry as CIF:
```
data_Au2C
_chemical_formula_sum 'Au2 C1'
_symmetry_space_group_name_H-M 'P 1'
_symmetry_Int_Tables_number 1
_cell_length_a 4.619
_cell_length_b 4.619
_cell_length_c 2.716
_cell_angle_alpha 90.00
_cell_angle_beta 90.00
_cell_angle_gamma 120.00
loop_
_symmetry_equiv_pos_as_xyz
'x,y,z'
loop_
_atom_site_label
_atom_site_fract_x
_atom_site_fract_y
_atom_site_fract_z
_atom_site_occupancy
Au1 0.333 0.667 0.000 1
Au2 0.667 0.333 0.000 1
C1 0.000 0.000 0.500 1
```

Results
As for the density of states at the Fermi level: 2.272 states/eV/f.u. As for the total DFT energy (no corrections): -9.41 eV per cell. As for the energy above the most stable polymorph in this dataset: 29.36 kcal/mol of atoms.

In order of appearance, M_tot = 0.0; 0.0; 0.0; 0.0; 0.0; 0.0; 0.0; 0.0 Bohr magnetons per cell.